No. 1
# TlCd2Ni2 PBE optimized geometry
# E_form = 0.23 eV per atom
# E_tot = -14.60 eV/cell
# E above lowest polymorph = 118 meV/atom
data_TlCd2Ni2
_chemical_formula_sum 'Tl1 Cd2 Ni2'
_cell_length_a 3.359
_cell_length_b 3.359
_cell_length_c 9.368
_cell_angle_alpha 79.67
_cell_angle_beta 79.67
_cell_angle_gamma 90.00
_space_group_name_H-M_alt 'P 1'
_space_group_IT_number 1
loop_
_space_group_symop_operation_xyz
'x,y,z'
loop_
_atom_site_label
_atom_site_type_symbol
_atom_site_fract_x
_atom_site_fract_y
_atom_site_fract_z
Ni1 Ni 0.250 0.750 0.500
Cd1 Cd 0.367 0.367 0.266
Tl1 Tl 0.000 0.000 0.000
Cd2 Cd 0.633 0.633 0.734
Ni2 Ni 0.750 0.250 0.500

No. 2
# ScAlSbTe2 PBE optimized geometry
# E_tot = -19.75 eV/cell
# E above lowest polymorph = 92 meV/atom
data_ScAlSbTe2
_chemical_formula_sum 'Sc1 Al1 Sb1 Te2'
_cell_length_a 5.344
_cell_length_b 5.344
_cell_length_c 5.172
_cell_angle_alpha 90.00
_cell_angle_beta 90.00
_cell_angle_gamma 90.00
_space_group_name_H-M_alt 'P 1'
_space_group_IT_number 1
loop_
_space_group_symop_operation_xyz
'x,y,z'
loop_
_atom_site_label
_atom_site_type_symbol
_atom_site_fract_x
_atom_site_fract_y
_atom_site_fract_z
Al1 Al 0.000 0.000 0.000
Sc1 Sc 0.500 0.500 0.500
Te1 Te 0.000 0.500 0.000
Te2 Te 0.500 0.000 0.000
Sb1 Sb 0.000 0.000 0.500

No. 3
# K3RbAu PBE optimized geometry
# E_form = -0.04 eV per atom
# E_tot = -7.74 eV/cell
# E above lowest polymorph = 93 meV/atom
data_K3RbAu
_chemical_formula_sum 'K3 Rb1 Au1'
_cell_length_a 4.921
_cell_length_b 8.680
_cell_length_c 8.680
_cell_angle_alpha 119.28
_cell_angle_beta 90.00
_cell_angle_gamma 90.00
_space_group_name_H-M_alt 'P 1'
_space_group_IT_number 1
loop_
_space_group_symop_operation_xyz
'x,y,z'
loop_
_atom_site_label
_atom_site_type_symbol
_atom_site_fract_x
_atom_site_fract_y
_atom_site_fract_z
K1 K 0.500 0.647 0.874
Au1 Au 0.500 0.051 0.949
K2 K 0.000 0.187 0.813
Rb1 Rb 0.000 0.617 0.383
K3 K 0.500 0.126 0.353

No. 4
# NbCoIN2 PBE optimized geometry
# E_tot = -27.79 eV/cell
# E above lowest polymorph = 752 meV/atom
data_NbCoIN2
_chemical_formula_sum 'Nb1 Co1 I1 N2'
_cell_length_a 3.871
_cell_length_b 3.871
_cell_length_c 4.945
_cell_angle_alpha 90.00
_cell_angle_beta 90.00
_cell_angle_gamma 90.00
_space_group_name_H-M_alt 'P 1'
_space_group_IT_number 1
loop_
_space_group_symop_operation_xyz
'x,y,z'
loop_
_atom_site_label
_atom_site_type_symbol
_atom_site_fract_x
_atom_site_fract_y
_atom_site_fract_z
I1 I 0.000 0.000 0.500
Nb1 Nb 0.500 0.500 0.500
Co1 Co 0.000 0.000 0.000
N1 N 0.500 0.000 0.000
N2 N 0.000 0.500 0.000

One value per record, in order, for N(E_F): 1.040, 0.741, 0.418, 1.308 states/eV/atom.